## TaTe2MoO (PBE with a Hubbard U)

Data for TaTe2MoO after structural relaxation.

abc: 5.3687 3.8368 5.3687
angles: 90.00 90.00 90.00
With the nearest neighbours (Å) after each atom.
Element x y z (fractional)
Mo1 0.5000 0.5000 0.5000  8 Te 3.30
Te1 0.0000 0.0000 0.5000  2 O 2.68
Te2 0.5000 0.0000 0.0000  2 O 2.68
O1 0.0000 0.0000 0.0000  2 Ta 1.92
Ta1 0.0000 0.5000 0.0000  2 O 1.92

Output
SG = P4/mmm
E = -29.470 eV per cell
D(E_F) = 2.73 states/eV/cell